1.
DFT (PBE-GGA) results for NbInAs2Br after structural relaxation.

```
NbInAs2Br
1.0
5.011 0.000 0.000
0.000 5.011 0.000
0.000 0.000 5.504
Nb In As Br
1 1 2 1
direct
0.000 0.000 0.000
0.500 0.500 0.500
0.000 0.500 0.000
0.500 0.000 0.000
0.000 0.000 0.500
```

Values from the calculation:
total DFT energy (no corrections): -4.78 eV/atom
polymorph energy (0 for the lowest one): 0.0 meV/atom


2.
DFT (PBE-GGA) results for AlZnCuAu2 after structural relaxation.

```
AlZnCuAu2
1.0
4.830 0.000 0.000
0.000 4.830 0.000
0.000 0.000 4.506
Al Zn Cu Au
1 1 1 2
direct
0.000 0.000 0.000
0.500 0.500 0.500
0.500 0.500 0.000
0.000 0.500 0.500
0.500 0.000 0.500
```

Values from the calculation:
formation energy: 0.503 eV/atom
total DFT energy (no corrections): -2.63 eV/atom
polymorph energy (0 for the lowest one): 739.1 meV/atom


3.
DFT (PBE-GGA) results for HoZrSb2 after structural relaxation.

```
HoZrSb2
1.0
4.236 0.000 0.000
-2.118 3.669 0.000
0.000 0.000 7.157
Ho Zr Sb
1 1 2
direct
0.000 0.000 0.000
0.000 0.000 0.500
0.333 0.667 0.737
0.667 0.333 0.263
```

Values from the calculation:
total DFT energy (no corrections): -6.18 eV/atom
polymorph energy (0 for the lowest one): 4.5 meV/atom